[1]
Compound: Zr4CoOs
Source: the Alexandria database
Functional: GGA-PBE
Structure: optimized geometry

Output
Relative energy among the computed polymorphs ... 22.701 kcal/mol of atoms

Cell lengths 5.5132, 5.5132, 5.5132 Å; angles 60.00, 60.00, 60.00 degrees
Element x y z (fractional)
Zr 0.3760 0.3760 0.3760
Zr 0.3760 0.3760 0.8719
Zr 0.3760 0.8719 0.3760
Zr 0.8719 0.3760 0.3760
Co 0.0000 0.0000 0.0000
Os 0.7500 0.7500 0.7500

=====

[2]
Compound: As2IrCl
Source: the Alexandria database
Functional: GGA-PBE
Structure: optimized geometry

Output
Energy relative to the elements, uncorrected ... 0.365 eV per atom
Relative energy among the computed polymorphs ... 14.109 kcal/mol of atoms

Cell lengths 2.9816, 2.9816, 9.0127 Å; angles 90.00, 90.00, 90.00 degrees
Element x y z (fractional)
As 0.0000 0.0000 0.0000
As 0.5000 0.5000 0.2723
Ir 0.5000 0.5000 0.8394
Cl 0.0000 0.0000 0.6338

=====

[3]
Compound: TiNbCoBr
Source: the Alexandria database
Functional: GGA-PBE
Structure: optimized geometry

Output
Energy relative to the elements, uncorrected ... 0.188 eV per atom
Relative energy among the computed polymorphs ... 9.054 kcal/mol of atoms

Cell lengths 5.1669, 5.1669, 4.3494 Å; angles 97.57, 97.57, 34.11 degrees
Element x y z (fractional)
Ti 0.0000 0.0000 0.0000
Nb 0.7069 0.7069 0.6405
Co 0.4471 0.4471 0.5592
Br 0.2672 0.2672 0.1521

=====

[4]
Compound: Li2FeSn2
Source: the Alexandria database
Functional: GGA-PBE
Structure: optimized geometry

Cell lengths 6.9191, 6.9191, 4.1913 Å; angles 90.00, 90.00, 90.00 degrees
Element x y z (fractional)
Li 0.1550 0.3450 0.0000
Li 0.3450 0.8450 0.0000
Li 0.6550 0.1550 0.0000
Li 0.8450 0.6550 0.0000
Fe 0.0000 0.0000 0.5000
Fe 0.5000 0.5000 0.5000
Sn 0.1529 0.6529 0.5000
Sn 0.3471 0.1529 0.5000
Sn 0.6529 0.8471 0.5000
Sn 0.8471 0.3471 0.5000

=====

[5]
Compound: Ga2SiAs
Source: the Alexandria database
Functional: GGA-PBE
Structure: optimized geometry

Output
Energy relative to the elements, uncorrected ... 0.363 eV per atom
Relative energy among the computed polymorphs ... 8.605 kcal/mol of atoms

Cell lengths 7.9053, 7.9053, 7.9053 Å; angles 27.05, 27.05, 27.05 degrees
Element x y z (fractional)
Ga 0.1087 0.1087 0.1087
Ga 0.8913 0.8913 0.8913
Si 0.5000 0.5000 0.5000
As 0.0000 0.0000 0.0000

=====

[6]
Compound: Sr2LiH6Rh
Source: the Alexandria database
Functional: GGA-PBE
Structure: optimized geometry

Cell lengths 5.3611, 5.3611, 4.8370 Å; angles 90.00, 90.00, 120.00 degrees
Element x y z (fractional)
Sr 0.3333 0.6667 0.2281
Sr 0.6667 0.3333 0.7719
Li 0.0000 0.0000 0.5000
H 0.1555 0.3111 0.7831
H 0.1555 0.8445 0.7831
H 0.3111 0.1555 0.2169
H 0.6889 0.8445 0.7831
H 0.8445 0.1555 0.2169
H 0.8445 0.6889 0.2169
Rh 0.0000 0.0000 0.0000

=====

[7]
Compound: Hg2TeHAu
Source: the Alexandria database
Functional: GGA-PBE
Structure: optimized geometry

Cell lengths 5.7134, 5.7134, 3.4691 Å; angles 90.00, 90.00, 90.00 degrees
Element x y z (fractional)
Hg 0.0000 0.5000 0.0000
Hg 0.5000 0.0000 0.0000
Te 0.0000 0.0000 0.5000
H 0.5000 0.5000 0.5000
Au 0.5000 0.5000 0.0000

=====

[8]
Compound: Ti3WC3N
Source: the Alexandria database
Functional: GGA-PBE
Structure: optimized geometry

Output
Energy relative to the elements, uncorrected ... -0.729 eV per atom

Cell lengths 10.2403, 10.2403, 10.2403 Å; angles 17.15, 17.15, 17.15 degrees
Element x y z (fractional)
Ti 0.0000 0.0000 0.0000
Ti 0.2516 0.2516 0.2516
Ti 0.5034 0.5034 0.5034
W 0.7506 0.7506 0.7506
C 0.3766 0.3766 0.3766
C 0.6265 0.6265 0.6265
C 0.8757 0.8757 0.8757
N 0.1273 0.1273 0.1273

=====

[9]
Compound: Mg3AgAu
Source: the Alexandria database
Functional: GGA-PBE
Structure: optimized geometry

Output
Relative energy among the computed polymorphs ... 0.190 kcal/mol of atoms

Cell lengths 6.6371, 6.6371, 6.6371 Å; angles 90.00, 90.00, 90.00 degrees
Element x y z (fractional)
Mg 0.0000 0.0000 0.0000
Mg 0.2640 0.2640 0.2640
Mg 0.2640 0.2640 0.7360
Mg 0.2640 0.7360 0.2640
Mg 0.2640 0.7360 0.7360
Mg 0.7360 0.2640 0.2640
Mg 0.7360 0.2640 0.7360
Mg 0.7360 0.7360 0.2640
Mg 0.7360 0.7360 0.7360
Ag 0.0000 0.0000 0.5000
Ag 0.0000 0.5000 0.0000
Ag 0.5000 0.0000 0.0000
Au 0.0000 0.5000 0.5000
Au 0.5000 0.0000 0.5000
Au 0.5000 0.5000 0.0000

=====

[10]
Compound: ZnCo2B
Source: the Alexandria database
Functional: GGA-PBE
Structure: optimized geometry

Output
Relative energy among the computed polymorphs ... 3.026 kcal/mol of atoms

Cell lengths 6.6321, 6.6321, 6.6321 Å; angles 23.84, 23.84, 23.84 degrees
Element x y z (fractional)
Zn 0.0000 0.0000 0.0000
Co 0.2273 0.2273 0.2273
Co 0.7727 0.7727 0.7727
B 0.5000 0.5000 0.5000

=====

[11]
Compound: CeSeBr
Source: the Alexandria database
Functional: GGA-PBE
Structure: optimized geometry

Output
Energy relative to the elements, uncorrected ... -1.719 eV per atom

Cell lengths 5.8965, 5.8175, 8.3294 Å; angles 90.00, 134.93, 90.00 degrees
Element x y z (fractional)
Ce 0.0000 0.0300 0.0000
Ce 0.0000 0.9700 0.5000
Se 0.5001 0.0007 0.5000
Se 0.5001 0.9993 0.0000
Br 0.9992 0.4755 0.4989
Br 0.9992 0.5245 0.9989

=====

[12]
Compound: SnPRuS2
Source: the Alexandria database
Functional: GGA-PBE
Structure: optimized geometry

Output
Energy relative to the elements, uncorrected ... 0.264 eV per atom
Relative energy among the computed polymorphs ... 0.000 kcal/mol of atoms

Cell lengths 4.8726, 4.8726, 4.3633 Å; angles 90.00, 90.00, 90.00 degrees
Element x y z (fractional)
Sn 0.0000 0.0000 0.0000
P 0.5000 0.5000 0.0000
Ru 0.5000 0.5000 0.5000
S 0.0000 0.5000 0.5000
S 0.5000 0.0000 0.5000

=====

[13]
Compound: Sc2GaPdC
Source: the Alexandria database
Functional: GGA-PBE
Structure: optimized geometry

Cell lengths 4.4536, 4.4536, 4.1683 Å; angles 90.00, 90.00, 90.00 degrees
Element x y z (fractional)
Sc 0.0000 0.5000 0.0000
Sc 0.5000 0.0000 0.0000
Ga 0.0000 0.0000 0.5000
Pd 0.5000 0.5000 0.5000
C 0.5000 0.5000 0.0000

=====

[14]
Compound: SiHg2Ir
Source: the Alexandria database
Functional: GGA-PBE
Structure: optimized geometry

Output
Energy relative to the elements, uncorrected ... 0.180 eV per atom

Cell lengths 4.2576, 3.7671, 5.3175 Å; angles 90.00, 112.78, 90.00 degrees
Element x y z (fractional)
Si 0.0000 0.0000 0.0000
Hg 0.4225 0.5000 0.8419
Hg 0.7226 0.0000 0.4526
Ir 0.1346 0.5000 0.2707

=====

[15]
Compound: Y2Al2AgPd5
Source: the Alexandria database
Functional: GGA-PBE
Structure: optimized geometry

Cell lengths 9.9662, 9.9662, 3.6734 Å; angles 90.00, 90.00, 90.00 degrees
Element x y z (fractional)
Y 0.1791 0.3209 0.0000
Y 0.3209 0.8209 0.0000
Y 0.6791 0.1791 0.0000
Y 0.8209 0.6791 0.0000
Al 0.1186 0.6186 0.0000
Al 0.3814 0.1186 0.0000
Al 0.6186 0.8814 0.0000
Al 0.8814 0.3814 0.0000
Ag 0.0000 0.0000 0.0000
Ag 0.5000 0.5000 0.0000
Pd 0.0000 0.5000 0.5000
Pd 0.0653 0.7896 0.5000
Pd 0.2104 0.0653 0.5000
Pd 0.2896 0.5653 0.5000
Pd 0.4347 0.2896 0.5000
Pd 0.5000 0.0000 0.5000
Pd 0.5653 0.7104 0.5000
Pd 0.7104 0.4347 0.5000
Pd 0.7896 0.9347 0.5000
Pd 0.9347 0.2104 0.5000

=====

[16]
Compound: Al2RhBr
Source: the Alexandria database
Functional: GGA-PBE
Structure: optimized geometry

Output
Energy relative to the elements, uncorrected ... 0.297 eV per atom
Relative energy among the computed polymorphs ... 18.709 kcal/mol of atoms

Cell lengths 4.6644, 4.6644, 4.6644 Å; angles 60.00, 60.00, 60.00 degrees
Element x y z (fractional)
Al 0.0000 0.0000 0.0000
Al 0.2500 0.2500 0.2500
Rh 0.7500 0.7500 0.7500
Br 0.5000 0.5000 0.5000

=====

[17]
Compound: Rb2YBi2
Source: the Alexandria database
Functional: GGA-PBE
Structure: optimized geometry

Output
Relative energy among the computed polymorphs ... 0.000 kcal/mol of atoms

Cell lengths 8.2255, 8.2255, 6.2539 Å; angles 90.00, 90.00, 90.00 degrees
Element x y z (fractional)
Rb 0.1660 0.3340 0.0000
Rb 0.3340 0.8340 0.0000
Rb 0.6660 0.1660 0.0000
Rb 0.8340 0.6660 0.0000
Y 0.0000 0.0000 0.5000
Y 0.5000 0.5000 0.5000
Bi 0.1366 0.6366 0.5000
Bi 0.3634 0.1366 0.5000
Bi 0.6366 0.8634 0.5000
Bi 0.8634 0.3634 0.5000

=====

[18]
Compound: Rb2Hg12PbAu3
Source: the Alexandria database
Functional: GGA-PBE
Structure: optimized geometry

Cell lengths 11.1507, 11.1507, 11.1507 Å; angles 48.32, 48.32, 48.32 degrees
Element x y z (fractional)
Rb 0.1356 0.1356 0.1356
Rb 0.8644 0.8644 0.8644
Hg 0.1460 0.1460 0.5546
Hg 0.1460 0.5546 0.1460
Hg 0.1468 0.5749 0.5749
Hg 0.4251 0.4251 0.8532
Hg 0.4251 0.8532 0.4251
Hg 0.4454 0.8540 0.8540
Hg 0.5546 0.1460 0.1460
Hg 0.5749 0.1468 0.5749
Hg 0.5749 0.5749 0.1468
Hg 0.8532 0.4251 0.4251
Hg 0.8540 0.4454 0.8540
Hg 0.8540 0.8540 0.4454
Pb 0.5000 0.5000 0.5000
Au 0.0000 0.5000 0.5000
Au 0.5000 0.0000 0.5000
Au 0.5000 0.5000 0.0000

=====

| no. | uncorrected energy (eV/cell) | volume (Å³ per cell) |
| --- | --- | --- |
| 1 | -48.00 | 118.5 |
| 2 | -18.55 | 80.1 |
| 3 | -25.99 | 64.5 |
| 4 | -40.41 | 200.7 |
| 5 | -14.68 | 90.1 |
| 6 | -37.60 | 120.4 |
| 7 | -9.65 | 113.2 |
| 8 | -78.47 | 81.5 |
| 9 | -38.02 | 292.4 |
| 10 | -22.45 | 41.9 |
| 11 | -32.49 | 202.3 |
| 12 | -25.62 | 103.6 |
| 13 | -32.45 | 82.7 |
| 14 | -14.17 | 78.6 |
| 15 | -112.19 | 364.9 |
| 16 | -15.32 | 71.8 |
| 17 | -35.49 | 423.1 |
| 18 | -19.24 | 709.1 |